No. 1
First-principles (meta-GGA SCAN) data for a PBEsol-optimized structure of BeFe2, as listed in Alexandria.

Calculated values
The value obtained for the electronic total energy is -40.91 eV/cell. As for the formation energy: -99.0 meV per atom. For the calculated volume, the calculation gives 29.4 Å³ per cell.

```
BeFe2
1.0
2.361 0.000 0.000
0.000 3.792 0.000
0.000 -1.896 3.284
Fe Be
2 1
Cartesian
0.788 1.896 1.095
1.573 0.000 2.189
0.000 0.000 0.000
```



No. 2
First-principles (meta-GGA SCAN) data for a PBEsol-optimized structure of BeFe3, as listed in Alexandria.

Calculated values
The value obtained for the electronic total energy is -59.11 eV/cell. As for the formation energy: -90.9 meV per atom. For the calculated volume, the calculation gives 40.1 Å³ per cell.

```
BeFe3
1.0
2.379 -0.033 0.000
-0.582 2.307 0.000
0.000 0.000 7.335
Be Fe
1 3
Cartesian
0.000 0.000 0.000
0.898 1.137 5.631
0.000 0.000 3.667
0.898 1.137 1.704
```



No. 3
First-principles (meta-GGA SCAN) data for a PBEsol-optimized structure of Be2Fe, as listed in Alexandria.

Calculated values
The value obtained for the electronic total energy is -55.29 eV/cell. The calculation puts the energy above the most stable polymorph in this dataset at 0.007 eV per atom. As for the formation energy: -270.1 meV per atom. For the calculated volume, the calculation gives 49.4 Å³ per cell.

```
Be2Fe
1.0
-1.690 -3.377 -1.646
-2.223 -2.548 2.353
-4.083 -0.227 -0.497
Be Fe
4 2
Cartesian
-3.041 -0.883 -0.222
-0.999 -0.769 0.026
-1.844 -2.457 -0.797
-2.111 -2.043 1.203
-3.998 -3.076 0.105
-5.996 -4.614 0.157
```



No. 4
First-principles (meta-GGA SCAN) data for a PBEsol-optimized structure of Be2Fe, as listed in Alexandria.

Calculated values
The value obtained for the electronic total energy is -109.78 eV/cell. The calculation puts the energy above the most stable polymorph in this dataset at 0.074 eV per atom. As for the formation energy: -202.9 meV per atom. For the calculated volume, the calculation gives 101.5 Å³ per cell.

```
Be2Fe
1.0
-2.945 -0.679 -1.010
0.686 -3.110 0.090
-2.026 1.474 9.942
Be Fe
8 4
Cartesian
-1.580 -0.210 4.747
-3.595 -0.622 5.874
-4.625 -0.759 8.971
-1.674 -1.967 1.178
-2.705 -2.104 4.275
-2.610 -0.348 7.844
-1.474 -0.340 -0.499
-2.505 -0.477 2.598
-0.477 -0.064 1.435
-3.807 -2.251 7.587
-0.757 -1.702 3.351
-1.712 -1.829 6.221
```



No. 5
First-principles (meta-GGA SCAN) data for a PBEsol-optimized structure of BeFe3, as listed in Alexandria.

Calculated values
The value obtained for the electronic total energy is -59.03 eV/cell. As for the formation energy: -71.5 meV per atom. For the calculated volume, the calculation gives 40.2 Å³ per cell.

```
BeFe3
1.0
2.783 0.000 0.000
0.000 2.783 0.000
0.000 0.000 5.192
Fe Be
3 1
Cartesian
0.000 0.000 2.596
1.392 1.392 3.992
1.392 1.392 1.200
0.000 0.000 0.000
```



No. 6
First-principles (meta-GGA SCAN) data for a PBEsol-optimized structure of BeFe2, as listed in Alexandria.

Calculated values
The value obtained for the electronic total energy is -122.61 eV/cell. As for the formation energy: -85.4 meV per atom. For the calculated volume, the calculation gives 87.0 Å³ per cell.

```
BeFe2
1.0
2.632 0.000 0.000
0.000 6.178 0.000
0.000 -3.089 5.351
Be Fe
3 6
Cartesian
0.000 0.000 3.567
1.316 0.000 0.000
0.000 3.089 1.784
1.316 3.807 0.000
1.316 1.186 2.054
0.000 1.675 0.000
0.000 2.251 3.900
1.316 -1.903 3.297
0.000 -0.838 1.451
```



No. 7
First-principles (meta-GGA SCAN) data for a PBEsol-optimized structure of BeFe2, as listed in Alexandria.

Calculated values
The value obtained for the electronic total energy is -81.85 eV/cell. As for the formation energy: -103.4 meV per atom. For the calculated volume, the calculation gives 56.6 Å³ per cell.

```
BeFe2
1.0
4.251 0.000 0.000
2.125 3.650 0.000
2.125 0.000 3.650
Fe Be
4 2
Cartesian
4.251 0.672 1.825
4.251 2.978 1.825
2.125 1.825 0.672
6.376 1.825 2.978
3.188 0.000 0.000
1.063 0.000 0.000
```



No. 8
First-principles (meta-GGA SCAN) data for a PBEsol-optimized structure of BeFe3, as listed in Alexandria.

Calculated values
The value obtained for the electronic total energy is -58.99 eV/cell. As for the formation energy: -61.6 meV per atom. For the calculated volume, the calculation gives 40.4 Å³ per cell.

```
BeFe3
1.0
2.377 0.000 0.000
-0.792 4.428 0.000
-0.792 -2.214 3.835
Be Fe
1 3
Cartesian
0.000 0.000 0.000
0.792 2.214 0.000
-0.792 1.107 1.917
0.792 -1.107 1.917
```



No. 9
First-principles (meta-GGA SCAN) data for a PBEsol-optimized structure of Be2Fe, as listed in Alexandria.

Calculated values
The value obtained for the electronic total energy is -221.33 eV/cell. The calculation puts the energy above the most stable polymorph in this dataset at 0.000 eV per atom. As for the formation energy: -276.7 meV per atom. For the calculated volume, the calculation gives 198.4 Å³ per cell.

```
Be2Fe
1.0
4.124 0.000 0.000
-2.062 3.571 0.000
0.000 0.000 13.468
Be Fe
16 8
Cartesian
1.054 2.990 10.101
2.062 0.000 6.734
-1.054 2.990 10.101
1.031 1.786 6.734
2.062 0.000 0.000
1.008 0.582 3.367
0.000 2.381 8.424
1.031 1.786 0.000
3.116 0.582 3.367
0.000 1.164 10.101
2.062 1.190 5.043
2.062 1.190 1.690
-1.031 1.786 0.000
2.062 2.408 3.367
0.000 2.381 11.777
-1.031 1.786 6.734
2.062 1.190 8.838
0.000 2.381 4.629
0.000 2.381 2.105
0.000 0.000 12.204
2.062 1.190 11.363
0.000 0.000 5.470
0.000 0.000 7.997
0.000 0.000 1.264
```



No. 10
First-principles (meta-GGA SCAN) data for a PBEsol-optimized structure of Be4Fe5, as listed in Alexandria.

Calculated values
The value obtained for the electronic total energy is -217.95 eV/cell. As for the formation energy: -101.5 meV per atom. For the calculated volume, the calculation gives 163.4 Å³ per cell.

```
Be4Fe5
1.0
-1.111 0.844 4.268
-4.943 -4.167 -0.463
5.826 -2.084 1.929
Fe Be
10 8
Cartesian
-4.369 -2.348 2.869
-1.353 -3.473 0.334
-1.685 -0.975 0.935
1.380 -0.382 1.616
1.681 -2.357 3.266
0.354 -4.261 2.116
3.334 -0.858 4.581
-0.582 -1.146 3.618
2.237 -2.779 1.132
-1.909 -3.051 2.468
-0.285 -3.250 4.112
3.341 -1.084 2.265
-3.348 -2.378 0.779
0.000 0.000 0.000
-0.556 0.422 2.134
-2.706 -0.946 3.025
1.373 -0.157 3.932
0.057 -2.157 1.622
```



No. 11
First-principles (meta-GGA SCAN) data for a PBEsol-optimized structure of Be2Fe, as listed in Alexandria.

Calculated values
The value obtained for the electronic total energy is -54.16 eV/cell. The calculation puts the energy above the most stable polymorph in this dataset at 0.196 eV per atom. As for the formation energy: -80.4 meV per atom. For the calculated volume, the calculation gives 50.2 Å³ per cell.

```
Be2Fe
1.0
2.632 0.000 0.000
-1.316 3.989 -0.004
0.000 -1.539 4.780
Be Fe
4 2
Cartesian
0.001 2.409 0.788
0.000 -0.770 2.390
0.000 0.000 0.000
1.315 0.041 3.988
1.316 0.786 1.553
0.000 1.664 3.222
```



No. 12
First-principles (meta-GGA SCAN) data for a PBEsol-optimized structure of BeFe3, as listed in Alexandria.

Calculated values
The value obtained for the electronic total energy is -59.03 eV/cell. As for the formation energy: -71.0 meV per atom. For the calculated volume, the calculation gives 39.7 Å³ per cell.

```
BeFe3
1.0
-2.847 -0.809 1.699
-1.483 -0.932 -2.929
1.158 -3.181 0.426
Be Fe
1 3
Cartesian
0.000 0.000 0.000
-0.162 -2.056 -1.252
-0.844 -1.995 1.062
-2.165 -0.870 -0.615
```